Entry 1:
AcBeN | PBE | relaxed

Values from the calculation:
* excess energy over the best structure of this formula in the dataset: 0 meV per atom
* ΔE_f (raw): -0.802 eV per atom
* space-group type: C2/m, No. 12

Structure (CIF):
```
data_AcBeN
_symmetry_space_group_name_H-M 'P 1'
_symmetry_Int_Tables_number 1
_cell_length_a 7.285
_cell_length_b 7.285
_cell_length_c 3.951
_cell_angle_alpha 90.04
_cell_angle_beta 90.04
_cell_angle_gamma 31.41
loop_
_symmetry_equiv_pos_as_xyz
'x,y,z'
loop_
_atom_site_label
_atom_site_type_symbol
_atom_site_fract_x
_atom_site_fract_y
_atom_site_fract_z
Ac1 Ac 0.152 0.152 0.250
Ac2 Ac 0.848 0.848 0.750
Be1 Be 0.450 0.450 0.251
Be2 Be 0.550 0.550 0.749
N1 N 0.337 0.337 0.250
N2 N 0.663 0.663 0.750
```

---

Entry 2:
ScTe2Ir | PBE | relaxed

Values from the calculation:
* excess energy over the best structure of this formula in the dataset: 591 meV per atom
* ΔE_f (raw): -0.092 eV per atom
* space-group type: R-3m, No. 166

Structure (CIF):
```
data_ScTe2Ir
_symmetry_space_group_name_H-M 'P 1'
_symmetry_Int_Tables_number 1
_cell_length_a 8.823
_cell_length_b 8.823
_cell_length_c 8.823
_cell_angle_alpha 25.91
_cell_angle_beta 25.91
_cell_angle_gamma 25.91
loop_
_symmetry_equiv_pos_as_xyz
'x,y,z'
loop_
_atom_site_label
_atom_site_type_symbol
_atom_site_fract_x
_atom_site_fract_y
_atom_site_fract_z
Sc1 Sc 0.000 0.000 0.000
Te1 Te 0.113 0.113 0.113
Te2 Te 0.887 0.887 0.887
Ir1 Ir 0.500 0.500 0.500
```

---

Entry 3:
Ac4S6I | PBE | relaxed

Values from the calculation:
* ΔE_f (raw): -1.868 eV per atom
* space-group type: P-6m2, No. 187

Structure (CIF):
```
data_Ac4S6I
_symmetry_space_group_name_H-M 'P 1'
_symmetry_Int_Tables_number 1
_cell_length_a 9.114
_cell_length_b 9.114
_cell_length_c 4.300
_cell_angle_alpha 90.00
_cell_angle_beta 90.00
_cell_angle_gamma 120.00
loop_
_symmetry_equiv_pos_as_xyz
'x,y,z'
loop_
_atom_site_label
_atom_site_type_symbol
_atom_site_fract_x
_atom_site_fract_y
_atom_site_fract_z
Ac1 Ac 0.000 0.000 0.000
Ac2 Ac 0.024 0.512 0.500
Ac3 Ac 0.488 0.512 0.500
Ac4 Ac 0.488 0.976 0.500
S1 S 0.210 0.421 0.000
S2 S 0.210 0.790 0.000
S3 S 0.278 0.139 0.500
S4 S 0.579 0.790 0.000
S5 S 0.861 0.139 0.500
S6 S 0.861 0.722 0.500
I1 I 0.667 0.333 0.000
```